1.
{
  "formula": "TbTmCd2Cu4",
  "functional": "PBE-GGA",
  "state": "optimized geometry",
  "dft_energy_ev_per_fu": -27.45,
  "total_magnetization_mub_per_cell": 0.02,
  "e_form_mev_per_atom": -210.7,
  "lattice": [[-2.8635, 3.6384, 0.5896], [-1.3394, -1.7228, 4.1259], [4.8562, 3.3404, 2.9712]],
  "species": ["Tm", "Cu", "Cu", "Cu", "Cu", "Cd", "Cd", "Tb"],
  "frac_coords": [[0.0000, 0.0000, 0.0000], [0.5000, 0.0000, 0.2441], [0.5000, 0.0000, 0.7559], [0.0000, 0.5000, 0.2441], [0.0000, 0.5000, 0.7559], [0.0000, 0.0000, 0.5000], [0.5000, 0.5000, 0.0000], [0.5000, 0.5000, 0.5000]]
}

2.
{
  "formula": "TbZrCd2Cu4",
  "functional": "PBE-GGA",
  "state": "optimized geometry",
  "dft_energy_ev_per_fu": -31.30,
  "total_magnetization_mub_per_cell": 0.02,
  "e_form_mev_per_atom": -183.4,
  "lattice": [[-0.2793, -4.5894, -0.4523], [4.2043, -0.0672, -1.9144], [2.6476, -0.7367, 5.8405]],
  "species": ["Cu", "Cu", "Cu", "Cu", "Cd", "Cd", "Zr", "Tb"],
  "frac_coords": [[0.0000, 0.5000, 0.7671], [0.5000, 0.0000, 0.7671], [0.5000, 0.0000, 0.2329], [0.0000, 0.5000, 0.2329], [0.0000, 0.0000, 0.0000], [0.5000, 0.5000, 0.5000], [0.5000, 0.5000, 0.0000], [0.0000, 0.0000, 0.5000]]
}

3.
{
  "formula": "TlCdCuTc",
  "functional": "PBE-GGA",
  "state": "optimized geometry",
  "polymorph_energy_mev_per_atom": 0.0,
  "dft_energy_ev_per_fu": -14.99,
  "total_magnetization_mub_per_cell": 0.00,
  "lattice": [[0.0000, 3.2726, 3.2726], [3.2726, 0.0000, 3.2726], [3.2726, 3.2726, 0.0000]],
  "species": ["Cu", "Tl", "Cd", "Tc"],
  "frac_coords": [[0.7500, 0.7500, 0.7500], [0.0000, 0.0000, 0.0000], [0.5000, 0.5000, 0.5000], [0.2500, 0.2500, 0.2500]]
}

4.
{
  "formula": "TmCdCuTe3",
  "functional": "PBE-GGA",
  "state": "optimized geometry",
  "polymorph_energy_mev_per_atom": 9.5,
  "dft_energy_ev_per_fu": -22.11,
  "total_magnetization_mub_per_cell": 0.01,
  "lattice": [[2.0537, -7.0626, 0.0000], [2.0537, 7.0626, 0.0000], [0.0000, 0.0000, 11.1570]],
  "species": ["Te", "Te", "Te", "Te", "Te", "Te", "Cd", "Cd", "Cu", "Cu", "Tm", "Tm"],
  "frac_coords": [[0.4036, 0.5965, 0.2500], [0.1466, 0.8534, 0.4301], [0.5965, 0.4036, 0.7500], [0.1466, 0.8534, 0.0699], [0.8534, 0.1466, 0.9301], [0.8534, 0.1466, 0.5699], [0.7301, 0.2699, 0.2500], [0.2699, 0.7301, 0.7500], [0.9744, 0.0256, 0.7500], [0.0256, 0.9744, 0.2500], [0.5000, 0.5000, 0.0000], [0.5000, 0.5000, 0.5000]]
}

5.
{
  "formula": "TmCdCuTe3",
  "functional": "PBE-GGA",
  "state": "optimized geometry",
  "polymorph_energy_mev_per_atom": 0.0,
  "dft_energy_ev_per_fu": -22.17,
  "total_magnetization_mub_per_cell": 0.01,
  "lattice": [[-7.2377, 2.7257, 2.9929], [-1.7333, -3.6715, -0.8479], [4.3064, -3.8908, 8.0444]],
  "species": ["Cd", "Cd", "Te", "Te", "Te", "Te", "Te", "Te", "Tm", "Tm", "Cu", "Cu"],
  "frac_coords": [[0.7908, 0.7500, 0.2166], [0.2092, 0.2500, 0.7834], [0.7426, 0.2500, 0.9826], [0.9374, 0.7500, 0.6548], [0.5940, 0.2500, 0.3527], [0.0626, 0.2500, 0.3452], [0.2574, 0.7500, 0.0174], [0.4060, 0.7500, 0.6473], [0.3176, 0.7500, 0.3265], [0.6824, 0.2500, 0.6735], [0.0749, 0.2500, 0.0778], [0.9251, 0.7500, 0.9222]]
}

6.
{
  "formula": "YCdCuTe3",
  "functional": "PBE-GGA",
  "state": "optimized geometry",
  "dft_energy_ev_per_fu": -24.25,
  "total_magnetization_mub_per_cell": 0.03,
  "lattice": [[-0.0540, 7.3504, -0.4750], [-3.4829, -6.3314, -1.4282], [-5.2078, 0.6082, 10.0041]],
  "species": ["Cd", "Cd", "Te", "Te", "Te", "Te", "Te", "Te", "Cu", "Cu", "Y", "Y"],
  "frac_coords": [[0.7685, 0.2315, 0.7500], [0.2315, 0.7685, 0.2500], [0.6489, 0.3511, 0.4278], [0.3511, 0.6489, 0.9278], [0.9032, 0.0968, 0.2500], [0.3511, 0.6489, 0.5722], [0.6489, 0.3511, 0.0722], [0.0968, 0.9032, 0.7500], [0.5267, 0.4733, 0.2500], [0.4733, 0.5267, 0.7500], [0.0000, 0.0000, 0.0000], [0.0000, 0.0000, 0.5000]]
}

7.
{
  "formula": "Th2CdCu2",
  "functional": "PBE-GGA",
  "state": "optimized geometry",
  "dft_energy_ev_per_fu": -21.46,
  "total_magnetization_mub_per_cell": 0.00,
  "e_form_mev_per_atom": 338.7,
  "lattice": [[-2.8349, 2.8349, 7.7606], [2.8349, -2.8349, 7.7606], [2.8349, 2.8349, -7.7606]],
  "species": ["Cu", "Cu", "Cu", "Cu", "Cd", "Cd", "Th", "Th", "Th", "Th"],
  "frac_coords": [[0.8750, 0.6250, 0.2500], [0.3750, 0.6250, 0.7500], [0.3750, 0.1250, 0.7500], [0.3750, 0.6250, 0.2500], [0.7500, 0.2500, 0.5000], [0.0000, 0.0000, 0.0000], [0.9502, 0.4502, 0.5000], [0.5498, 0.0498, 0.5000], [0.7998, 0.7998, 0.0000], [0.2002, 0.2002, 0.0000]]
}

8.
{
  "formula": "ThCd2Cu9",
  "functional": "PBE-GGA",
  "state": "optimized geometry",
  "dft_energy_ev_per_fu": -44.01,
  "total_magnetization_mub_per_cell": 0.00,
  "e_form_mev_per_atom": -112.9,
  "lattice": [[2.5364, 1.4644, 8.0399], [-2.5364, 1.4644, 8.0399], [0.0000, -2.9288, 8.0399]],
  "species": ["Cu", "Cu", "Cu", "Cu", "Cu", "Cu", "Cu", "Cu", "Cu", "Cd", "Cd", "Th"],
  "frac_coords": [[0.4148, 0.4148, 0.9180], [0.3333, 0.3333, 0.3333], [0.5852, 0.0820, 0.5852], [0.0820, 0.5852, 0.5852], [0.5852, 0.5852, 0.0820], [0.4148, 0.9180, 0.4148], [0.9180, 0.4148, 0.4148], [0.6667, 0.6667, 0.6667], [0.5000, 0.5000, 0.5000], [0.8554, 0.8554, 0.8554], [0.1446, 0.1446, 0.1446], [0.0000, 0.0000, 0.0000]]
}